The following is a DFT calculation (GGA-PBE) of an optimized crystal structure of DyCo2PC.

Computed properties:
Energy of formation (eV/atom): -0.67
Symmetry: Cmcm
N(E_F) (states/eV per atom): 0.62
E (eV for the cell shown): -73.548

Lattice parameters (Å, degrees): 3.664 5.543 6.631 90.00 90.00 109.30
Positions (direct):
Dy 0.455 0.911 0.750
Dy 0.545 0.089 0.250
Co 0.834 0.667 0.055
Co 0.166 0.333 0.555
Co 0.834 0.667 0.445
Co 0.166 0.333 0.945
C 0.000 0.000 0.000
C 0.000 0.000 0.500
P 0.270 0.539 0.250
P 0.730 0.461 0.750